1.
Here is an optimized crystal structure of Th4SbP2C from Alexandria. Energies are from PBE.

Results
magnetization	0.000	μB/cell
V	422.6	Å³/cell
E	-7.721	eV/atom
uncorrected formation energy	-0.9908	eV/atom
N(E_F)	5.07	states/eV/f.u.

a = 4.1667 Å, b = 7.2701 Å, c = 14.5620 Å
α = 90.00°, β = 90.00°, γ = 106.65°
With the nearest neighbours (Å) after each atom.
Fractional positions:
Sb 0.1057 0.2114 0.7500  6 Th 3.27-3.32
C 0.8368 0.6736 0.7500  4 Th 2.34-2.42
Sb 0.8943 0.7886 0.2500  6 Th 3.27-3.32
Th 0.5753 0.1506 0.2500  2 C 2.42
Th 0.0000 0.0000 0.5000  4 P 2.91
P 0.3667 0.7335 0.9442  6 Th 2.91-2.95
P 0.3667 0.7335 0.5558  6 Th 2.91-2.95
P 0.6333 0.2665 0.4442  6 Th 2.91-2.95
Th 0.0000 0.0000 0.0000  4 P 2.91
Th 0.2651 0.5303 0.3780  1 C 2.34
C 0.1632 0.3264 0.2500  4 Th 2.34-2.42
Th 0.7349 0.4697 0.8780  1 C 2.34
P 0.6333 0.2665 0.0558  6 Th 2.91-2.95
Th 0.4247 0.8494 0.7500  2 C 2.42
Th 0.7349 0.4697 0.6220  1 C 2.34
Th 0.2651 0.5303 0.1220  1 C 2.34

=====

2.
Here is an optimized crystal structure of Ho3InHg12 from Alexandria. Energies are from PBE.

Results
magnetization	0.000	μB/cell
E_form	-0.23	eV/atom
V	391.5	Å³/cell
E	-1.482	eV/atom
N(E_F)	8.87	states/eV/f.u.

a = 4.6079 Å, b = 4.6079 Å, c = 18.4391 Å
α = 90.00°, β = 90.00°, γ = 90.00°
With the nearest neighbours (Å) after each atom.
Fractional positions:
Ho 0.0000 0.0000 0.5000  12 Hg 3.25-3.26
In 0.0000 0.0000 0.0000  12 Hg 3.26-3.28
Hg 0.0000 0.5000 0.1262  2 Ho 3.17, 8 Hg 3.26-3.31, 2 In 3.28
Ho 0.0000 0.0000 0.7559  12 Hg 3.17-3.35
Hg 0.5000 0.0000 0.3758  8 Hg 3.20-3.26, 4 Ho 3.25-3.35
Hg 0.0000 0.5000 0.8738  2 Ho 3.17, 8 Hg 3.26-3.31, 2 In 3.28
Ho 0.0000 0.0000 0.2441  12 Hg 3.17-3.35
Hg 0.5000 0.0000 0.1262  2 Ho 3.17, 8 Hg 3.26-3.31, 2 In 3.28
Hg 0.5000 0.5000 0.0000  4 In 3.26, 8 Hg 3.28
Hg 0.5000 0.5000 0.2551  8 Hg 3.20-3.31, 4 Ho 3.26
Hg 0.5000 0.5000 0.5000  8 Hg 3.25, 4 Ho 3.26
Hg 0.0000 0.5000 0.3758  8 Hg 3.20-3.26, 4 Ho 3.25-3.35
Hg 0.0000 0.5000 0.6242  8 Hg 3.20-3.26, 4 Ho 3.25-3.35
Hg 0.5000 0.5000 0.7449  8 Hg 3.20-3.31, 4 Ho 3.26
Hg 0.5000 0.0000 0.6242  8 Hg 3.20-3.26, 4 Ho 3.25-3.35
Hg 0.5000 0.0000 0.8738  2 Ho 3.17, 8 Hg 3.26-3.31, 2 In 3.28

=====

3.
Here is an optimized crystal structure of In3Hg2Pb6 from Alexandria. Energies are from PBE.

Results
magnetization	0.000	μB/cell
E_form	0.02	eV/atom
V	323.0	Å³/cell
E	-2.806	eV/atom
N(E_F)	5.17	states/eV/f.u.

a = 8.2489 Å, b = 7.4195 Å, c = 14.6834 Å
α = 147.94°, β = 60.22°, γ = 135.15°
With the nearest neighbours (Å) after each atom.
Fractional positions:
Pb 0.9290 0.6699 0.1986  3 In 3.36-3.49, 5 Pb 3.41-3.51, 3 Hg 3.44-3.65
Pb 0.5490 0.1828 0.9121  6 Pb 3.36-3.58, 2 Hg 3.42-3.49, 4 In 3.43-3.66
In 0.0000 0.0000 0.0000  2 Hg 3.27, 8 Pb 3.38-3.53, 2 In 3.62
Pb 0.1723 0.7091 0.6362  5 Pb 3.36-3.58, 4 In 3.36-3.53, 3 Hg 3.45-3.72
Pb 0.0710 0.3301 0.8014  3 In 3.36-3.49, 5 Pb 3.41-3.51, 3 Hg 3.44-3.65
In 0.6986 0.8877 0.5359  2 Hg 3.21-3.25, 6 Pb 3.36-3.51, 1 In 3.37
Pb 0.8277 0.2909 0.3638  5 Pb 3.36-3.58, 4 In 3.36-3.53, 3 Hg 3.45-3.72
Hg 0.3641 0.4559 0.2674  3 In 3.21-3.27, 6 Pb 3.42-3.58
In 0.3014 0.1123 0.4641  2 Hg 3.21-3.25, 6 Pb 3.36-3.51, 1 In 3.37
Pb 0.4510 0.8172 0.0879  6 Pb 3.36-3.58, 2 Hg 3.42-3.49, 4 In 3.43-3.66
Hg 0.6359 0.5441 0.7326  3 In 3.21-3.27, 6 Pb 3.42-3.58

=====

4.
Here is an optimized crystal structure of ReHg2P from Alexandria. Energies are from PBE.

Results
magnetization	1.067	μB/cell
E_form	1.03	eV/atom
V	73.2	Å³/cell
E	-3.582	eV/atom
N(E_F)	3.21	states/eV/f.u.

a = 3.8700 Å, b = 3.8700 Å, c = 4.8902 Å
α = 90.00°, β = 90.00°, γ = 90.00°
With the nearest neighbours (Å) after each atom.
Fractional positions:
Hg 0.5000 0.0000 0.0000  4 Hg 2.74
Hg 0.0000 0.5000 0.0000  4 Hg 2.74
Re 0.0000 0.0000 0.5000  4 P 2.74
P 0.5000 0.5000 0.5000  4 Re 2.74

=====

5.
Here is an optimized crystal structure of Tl3AgBi2Se6 from Alexandria. Energies are from PBE.

Results
magnetization	0.000	μB/cell
V	337.8	Å³/cell
E	-3.533	eV/atom
uncorrected formation energy	-0.3151	eV/atom
N(E_F)	7.88	states/eV/f.u.

a = 7.3545 Å, b = 7.3545 Å, c = 7.6178 Å
α = 99.31°, β = 99.31°, γ = 119.96°
With the nearest neighbours (Å) after each atom.
Fractional positions:
Se 0.2504 0.2504 0.7744  1 Ag 2.90, 2 Bi 2.95, 3 Tl 3.19-3.20
Tl 0.1741 0.8259 0.5000  6 Se 3.15-3.19
Tl 0.5000 0.5000 0.5000  6 Se 3.14-3.20
Ag 0.0000 0.0000 0.0000  6 Se 2.85-2.90
Bi 0.6648 0.3352 0.0000  6 Se 2.95-2.98
Se 0.0741 0.3958 0.2206  1 Ag 2.85, 2 Bi 2.96-2.98, 3 Tl 3.14-3.17
Se 0.7496 0.7496 0.2256  1 Ag 2.90, 2 Bi 2.95, 3 Tl 3.19-3.20
Se 0.9259 0.6042 0.7794  1 Ag 2.85, 2 Bi 2.96-2.98, 3 Tl 3.14-3.17
Tl 0.8259 0.1741 0.5000  6 Se 3.15-3.19
Se 0.3958 0.0741 0.2206  1 Ag 2.85, 2 Bi 2.96-2.98, 3 Tl 3.14-3.17
Se 0.6042 0.9259 0.7794  1 Ag 2.85, 2 Bi 2.96-2.98, 3 Tl 3.14-3.17
Bi 0.3352 0.6648 0.0000  6 Se 2.95-2.98

=====

6.
Here is an optimized crystal structure of TbSm4Bi2 from Alexandria. Energies are from PBE.

Results
magnetization	0.000	μB/cell
E_form	0.20	eV/atom
V	251.7	Å³/cell
E	-4.264	eV/atom
N(E_F)	6.93	states/eV/f.u.

a = 5.4238 Å, b = 5.4238 Å, c = 9.3755 Å
α = 106.81°, β = 106.81°, γ = 90.00°
With the nearest neighbours (Å) after each atom.
Fractional positions:
Sm 0.0000 0.5000 0.0000  2 Tb 2.71
Sm 0.8182 0.8182 0.6364  1 Tb 3.11, 1 Bi 3.14
Sm 0.5000 0.0000 0.0000  2 Tb 2.71
Bi 0.6345 0.6345 0.2689  1 Sm 3.14
Bi 0.3655 0.3655 0.7311  1 Sm 3.14
Sm 0.1818 0.1818 0.3636  1 Tb 3.11, 1 Bi 3.14
Tb 0.0000 0.0000 0.0000  4 Sm 2.71